This record from Alexandria describes a relaxed structure of NbInPdAu. The functional is PBE. Values from VASP.

**Total magnetic moment**: 0.0 μB per cell
**Density**: 11.7 g cm⁻³
**Space group**: F-43m, No. 216
**Energy relative to the elements**: -0.147 eV per atom

Cell and atoms, written as Quantum ESPRESSO input:
```
&SYSTEM
  ibrav = 0, nat = 4, ntyp = 4
/
ATOMIC_SPECIES
Nb 92.91 Nb.upf
Au 196.97 Au.upf
Pd 106.42 Pd.upf
In 114.82 In.upf
ATOMIC_POSITIONS angstrom
Nb 7.0209 4.0535 2.8663
Au 0.0000 0.0000 0.0000
Pd 4.6806 2.7023 1.9108
In 2.3403 1.3512 0.9554
CELL_PARAMETERS angstrom
4.6806 0.0000 0.0000
2.3403 4.0535 0.0000
2.3403 1.3512 3.8217
```